No. 1
# SiIrCl2, optimized geometry, DFT PBEsol
data_SiIrCl2
_symmetry_space_group_name_H-M 'P 1'
_symmetry_Int_Tables_number 1
_cell_length_a 2.973
_cell_length_b 2.973
_cell_length_c 8.672
_cell_angle_alpha 90.00
_cell_angle_beta 90.00
_cell_angle_gamma 90.00
loop_
_symmetry_equiv_pos_as_xyz
'x,y,z'
loop_
_atom_site_label
_atom_site_fract_x
_atom_site_fract_y
_atom_site_fract_z
Si1 0.000 0.000 0.000
Ir1 0.500 0.500 0.139
Cl1 0.000 0.000 0.767
Cl2 0.500 0.500 0.409
# - Formation energy (no corrections): -1.727 eV per formula unit
# - M_tot: 0.00 μB/f.u.

---

No. 2
# Si2IrCl, optimized geometry, DFT PBEsol
data_Si2IrCl
_symmetry_space_group_name_H-M 'P 1'
_symmetry_Int_Tables_number 1
_cell_length_a 4.648
_cell_length_b 4.648
_cell_length_c 2.753
_cell_angle_alpha 90.00
_cell_angle_beta 90.00
_cell_angle_gamma 90.00
loop_
_symmetry_equiv_pos_as_xyz
'x,y,z'
loop_
_atom_site_label
_atom_site_fract_x
_atom_site_fract_y
_atom_site_fract_z
Si1 0.000 0.500 0.000
Si2 0.500 0.000 0.000
Ir1 0.000 0.000 0.500
Cl1 0.500 0.500 0.500
# - Formation energy (no corrections): 0.904 eV per formula unit
# - M_tot: 0.00 μB/f.u.

---

No. 3
# Si2IrCl, optimized geometry, DFT PBEsol
data_Si2IrCl
_symmetry_space_group_name_H-M 'P 1'
_symmetry_Int_Tables_number 1
_cell_length_a 2.883
_cell_length_b 3.098
_cell_length_c 6.968
_cell_angle_alpha 90.00
_cell_angle_beta 90.00
_cell_angle_gamma 90.00
loop_
_symmetry_equiv_pos_as_xyz
'x,y,z'
loop_
_atom_site_label
_atom_site_fract_x
_atom_site_fract_y
_atom_site_fract_z
Si1 0.000 0.000 0.212
Si2 0.000 0.000 0.788
Ir1 0.500 0.500 0.000
Cl1 0.500 0.500 0.500
# - Formation energy (no corrections): -0.071 eV per formula unit
# - M_tot: 0.00 μB/f.u.

---

No. 4
# SiIr4Cl, optimized geometry, DFT PBEsol
data_SiIr4Cl
_symmetry_space_group_name_H-M 'P 1'
_symmetry_Int_Tables_number 1
_cell_length_a 5.180
_cell_length_b 5.180
_cell_length_c 5.180
_cell_angle_alpha 60.00
_cell_angle_beta 60.00
_cell_angle_gamma 60.00
loop_
_symmetry_equiv_pos_as_xyz
'x,y,z'
loop_
_atom_site_label
_atom_site_fract_x
_atom_site_fract_y
_atom_site_fract_z
Si1 0.000 0.000 0.000
Ir1 0.375 0.375 0.375
Ir2 0.375 0.375 0.876
Ir3 0.375 0.876 0.375
Ir4 0.876 0.375 0.375
Cl1 0.750 0.750 0.750
# - Formation energy (no corrections): 6.408 eV per formula unit
# - M_tot: 0.02 μB/f.u.

---

No. 5
# Si2IrCl, optimized geometry, DFT PBEsol
data_Si2IrCl
_symmetry_space_group_name_H-M 'P 1'
_symmetry_Int_Tables_number 1
_cell_length_a 3.566
_cell_length_b 3.566
_cell_length_c 4.722
_cell_angle_alpha 90.00
_cell_angle_beta 90.00
_cell_angle_gamma 90.00
loop_
_symmetry_equiv_pos_as_xyz
'x,y,z'
loop_
_atom_site_label
_atom_site_fract_x
_atom_site_fract_y
_atom_site_fract_z
Si1 0.000 0.500 0.000
Si2 0.500 0.000 0.000
Ir1 0.000 0.000 0.500
Cl1 0.500 0.500 0.500
# - Formation energy (no corrections): 2.672 eV per formula unit
# - M_tot: 0.00 μB/f.u.

---

No. 6
# Si2IrCl, optimized geometry, DFT PBEsol
data_Si2IrCl
_symmetry_space_group_name_H-M 'P 1'
_symmetry_Int_Tables_number 1
_cell_length_a 4.387
_cell_length_b 4.387
_cell_length_c 4.387
_cell_angle_alpha 60.00
_cell_angle_beta 60.00
_cell_angle_gamma 60.00
loop_
_symmetry_equiv_pos_as_xyz
'x,y,z'
loop_
_atom_site_label
_atom_site_fract_x
_atom_site_fract_y
_atom_site_fract_z
Si1 0.250 0.250 0.250
Si2 0.750 0.750 0.750
Ir1 0.000 0.000 0.000
Cl1 0.500 0.500 0.500
# - Formation energy (no corrections): 1.776 eV per formula unit
# - M_tot: 0.00 μB/f.u.

---

No. 7
# Si2IrCl, optimized geometry, DFT PBEsol
data_Si2IrCl
_symmetry_space_group_name_H-M 'P 1'
_symmetry_Int_Tables_number 1
_cell_length_a 4.862
_cell_length_b 4.862
_cell_length_c 2.877
_cell_angle_alpha 105.59
_cell_angle_beta 105.59
_cell_angle_gamma 87.64
loop_
_symmetry_equiv_pos_as_xyz
'x,y,z'
loop_
_atom_site_label
_atom_site_fract_x
_atom_site_fract_y
_atom_site_fract_z
Si1 0.000 0.500 0.000
Si2 0.500 0.000 0.000
Ir1 0.000 0.000 0.000
Cl1 0.500 0.500 0.000
# - Formation energy (no corrections): -0.122 eV per formula unit
# - M_tot: 0.00 μB/f.u.

---

No. 8
# SnIr3Cl, optimized geometry, DFT PBEsol
data_SnIr3Cl
_symmetry_space_group_name_H-M 'P 1'
_symmetry_Int_Tables_number 1
_cell_length_a 4.456
_cell_length_b 4.456
_cell_length_c 4.456
_cell_angle_alpha 90.00
_cell_angle_beta 90.00
_cell_angle_gamma 90.00
loop_
_symmetry_equiv_pos_as_xyz
'x,y,z'
loop_
_atom_site_label
_atom_site_fract_x
_atom_site_fract_y
_atom_site_fract_z
Sn1 0.000 0.000 0.000
Ir1 0.000 0.500 0.500
Ir2 0.500 0.000 0.500
Ir3 0.500 0.500 0.000
Cl1 0.500 0.500 0.500
# - Formation energy (no corrections): 7.154 eV per formula unit
# - M_tot: 0.00 μB/f.u.

---

No. 9
# SrIr2Cl, optimized geometry, DFT PBEsol
data_SrIr2Cl
_symmetry_space_group_name_H-M 'P 1'
_symmetry_Int_Tables_number 1
_cell_length_a 6.532
_cell_length_b 6.532
_cell_length_c 6.532
_cell_angle_alpha 147.09
_cell_angle_beta 147.09
_cell_angle_gamma 47.23
loop_
_symmetry_equiv_pos_as_xyz
'x,y,z'
loop_
_atom_site_label
_atom_site_fract_x
_atom_site_fract_y
_atom_site_fract_z
Sr1 0.000 0.000 0.000
Ir1 0.250 0.750 0.500
Ir2 0.750 0.250 0.500
Cl1 0.500 0.500 0.000
# - Formation energy (no corrections): -0.144 eV per formula unit
# - M_tot: 0.00 μB/f.u.

---

No. 10
# SrIr2Cl, optimized geometry, DFT PBEsol
data_SrIr2Cl
_symmetry_space_group_name_H-M 'P 1'
_symmetry_Int_Tables_number 1
_cell_length_a 3.698
_cell_length_b 3.698
_cell_length_c 6.006
_cell_angle_alpha 90.00
_cell_angle_beta 90.00
_cell_angle_gamma 90.00
loop_
_symmetry_equiv_pos_as_xyz
'x,y,z'
loop_
_atom_site_label
_atom_site_fract_x
_atom_site_fract_y
_atom_site_fract_z
Sr1 0.000 0.000 0.000
Ir1 0.000 0.500 0.500
Ir2 0.500 0.000 0.500
Cl1 0.500 0.500 0.000
# - Formation energy (no corrections): -0.133 eV per formula unit
# - M_tot: 0.00 μB/f.u.

---

No. 11
# SrIr2Cl, optimized geometry, DFT PBEsol
data_SrIr2Cl
_symmetry_space_group_name_H-M 'P 1'
_symmetry_Int_Tables_number 1
_cell_length_a 6.086
_cell_length_b 6.086
_cell_length_c 2.898
_cell_angle_alpha 90.00
_cell_angle_beta 90.00
_cell_angle_gamma 131.28
loop_
_symmetry_equiv_pos_as_xyz
'x,y,z'
loop_
_atom_site_label
_atom_site_fract_x
_atom_site_fract_y
_atom_site_fract_z
Sr1 0.000 0.000 0.000
Ir1 0.000 0.500 0.500
Ir2 0.500 0.000 0.500
Cl1 0.500 0.500 0.000
# - Formation energy (no corrections): 2.023 eV per formula unit
# - M_tot: 0.00 μB/f.u.

---

No. 12
# SrIr2Cl, optimized geometry, DFT PBEsol
data_SrIr2Cl
_symmetry_space_group_name_H-M 'P 1'
_symmetry_Int_Tables_number 1
_cell_length_a 4.142
_cell_length_b 4.142
_cell_length_c 5.075
_cell_angle_alpha 90.00
_cell_angle_beta 90.00
_cell_angle_gamma 90.00
loop_
_symmetry_equiv_pos_as_xyz
'x,y,z'
loop_
_atom_site_label
_atom_site_fract_x
_atom_site_fract_y
_atom_site_fract_z
Sr1 0.000 0.000 0.000
Ir1 0.500 0.500 0.241
Ir2 0.500 0.500 0.759
Cl1 0.000 0.000 0.500
# - Formation energy (no corrections): 2.717 eV per formula unit
# - M_tot: 0.01 μB/f.u.

---

No. 13
# SrIrCl2, optimized geometry, DFT PBEsol
data_SrIrCl2
_symmetry_space_group_name_H-M 'P 1'
_symmetry_Int_Tables_number 1
_cell_length_a 3.302
_cell_length_b 4.295
_cell_length_c 5.758
_cell_angle_alpha 90.00
_cell_angle_beta 90.00
_cell_angle_gamma 90.00
loop_
_symmetry_equiv_pos_as_xyz
'x,y,z'
loop_
_atom_site_label
_atom_site_fract_x
_atom_site_fract_y
_atom_site_fract_z
Sr1 0.000 0.000 0.000
Ir1 0.500 0.000 0.500
Cl1 0.000 0.500 0.500
Cl2 0.500 0.500 0.000
# - Formation energy (no corrections): -1.709 eV per formula unit
# - M_tot: 0.00 μB/f.u.

---

No. 14
# TaIrCl3, optimized geometry, DFT PBEsol
data_TaIrCl3
_symmetry_space_group_name_H-M 'P 1'
_symmetry_Int_Tables_number 1
_cell_length_a 4.699
_cell_length_b 4.699
_cell_length_c 4.699
_cell_angle_alpha 90.00
_cell_angle_beta 90.00
_cell_angle_gamma 90.00
loop_
_symmetry_equiv_pos_as_xyz
'x,y,z'
loop_
_atom_site_label
_atom_site_fract_x
_atom_site_fract_y
_atom_site_fract_z
Ta1 0.000 0.000 0.000
Ir1 0.500 0.500 0.500
Cl1 0.000 0.500 0.500
Cl2 0.500 0.000 0.500
Cl3 0.500 0.500 0.000
# - Formation energy (no corrections): 5.268 eV per formula unit
# - M_tot: 3.35 μB/f.u.

---

No. 15
# TaIrCl2, optimized geometry, DFT PBEsol
data_TaIrCl2
_symmetry_space_group_name_H-M 'P 1'
_symmetry_Int_Tables_number 1
_cell_length_a 7.104
_cell_length_b 7.104
_cell_length_c 7.104
_cell_angle_alpha 155.77
_cell_angle_beta 143.91
_cell_angle_gamma 43.94
loop_
_symmetry_equiv_pos_as_xyz
'x,y,z'
loop_
_atom_site_label
_atom_site_fract_x
_atom_site_fract_y
_atom_site_fract_z
Ta1 0.000 0.000 0.000
Ir1 0.500 0.500 0.000
Cl1 0.153 0.653 0.500
Cl2 0.847 0.347 0.500
# - Formation energy (no corrections): -0.517 eV per formula unit
# - M_tot: 0.00 μB/f.u.